Entry 1:
# Rb2Cd2S3O12

Crystalline Rb2Cd2S3O12 at its relaxed geometry (PBE, Alexandria).

Computed properties:
V   1188.6 Å³/cell
Raw total energy   -421.5 eV/cell
Formation energy (no corrections)   -29.7 eV/f.u.

Lattice parameters (Å, degrees): 10.593 10.593 10.593 90.00 90.00 90.00
Fractional coordinates of all 76 atoms:
Rb (0.438, 0.938, 0.562)
Rb (0.562, 0.438, 0.938)
Rb (0.699, 0.801, 0.199)
Rb (0.938, 0.562, 0.438)
Rb (0.301, 0.301, 0.301)
Rb (0.199, 0.699, 0.801)
Rb (0.801, 0.199, 0.699)
Rb (0.062, 0.062, 0.062)
Cd (0.419, 0.081, 0.919)
Cd (0.919, 0.419, 0.081)
Cd (0.081, 0.919, 0.419)
Cd (0.581, 0.581, 0.581)
Cd (0.164, 0.336, 0.664)
Cd (0.336, 0.664, 0.164)
Cd (0.836, 0.836, 0.836)
Cd (0.664, 0.164, 0.336)
S (0.375, 0.976, 0.236)
S (0.875, 0.524, 0.764)
S (0.625, 0.476, 0.264)
S (0.524, 0.764, 0.875)
S (0.264, 0.625, 0.476)
S (0.764, 0.875, 0.524)
S (0.976, 0.236, 0.375)
S (0.236, 0.375, 0.976)
S (0.476, 0.264, 0.625)
S (0.125, 0.024, 0.736)
S (0.736, 0.125, 0.024)
S (0.024, 0.736, 0.125)
O (0.337, 0.004, 0.104)
O (0.837, 0.496, 0.896)
O (0.663, 0.504, 0.396)
O (0.496, 0.896, 0.837)
O (0.396, 0.663, 0.504)
O (0.896, 0.837, 0.496)
O (0.004, 0.104, 0.337)
O (0.104, 0.337, 0.004)
O (0.504, 0.396, 0.663)
O (0.996, 0.604, 0.163)
O (0.604, 0.163, 0.996)
O (0.163, 0.996, 0.604)
O (0.262, 0.993, 0.319)
O (0.762, 0.507, 0.681)
O (0.738, 0.493, 0.181)
O (0.507, 0.681, 0.762)
O (0.181, 0.738, 0.493)
O (0.681, 0.762, 0.507)
O (0.253, 0.576, 0.344)
O (0.993, 0.319, 0.262)
O (0.493, 0.181, 0.738)
O (0.007, 0.819, 0.238)
O (0.819, 0.238, 0.007)
O (0.238, 0.007, 0.819)
O (0.424, 0.844, 0.247)
O (0.924, 0.656, 0.753)
O (0.576, 0.344, 0.253)
O (0.656, 0.753, 0.924)
O (0.027, 0.935, 0.781)
O (0.781, 0.027, 0.935)
O (0.935, 0.781, 0.027)
O (0.565, 0.219, 0.527)
O (0.281, 0.473, 0.065)
O (0.065, 0.281, 0.473)
O (0.719, 0.973, 0.435)
O (0.219, 0.527, 0.565)
O (0.435, 0.719, 0.973)
O (0.527, 0.565, 0.219)
O (0.973, 0.435, 0.719)
O (0.473, 0.065, 0.281)
O (0.076, 0.156, 0.747)
O (0.747, 0.076, 0.156)
O (0.156, 0.747, 0.076)
O (0.344, 0.253, 0.576)
O (0.247, 0.424, 0.844)
O (0.844, 0.247, 0.424)
O (0.753, 0.924, 0.656)
O (0.319, 0.262, 0.993)

Entry 2:
# Rb2Cd2S2O

Crystalline Rb2Cd2S2O at its relaxed geometry (PBE, Alexandria).

Computed properties:
V   185.1 Å³/cell
Raw total energy   -23.9 eV/cell
Formation energy (no corrections)   -6.9 eV/f.u.

Lattice parameters (Å, degrees): 4.201 7.417 7.832 54.07 89.99 73.54
Fractional coordinates of all 7 atoms:
Rb (0.554, 0.891, 0.803)
Rb (0.446, 0.109, 0.197)
Cd (0.818, 0.363, 0.714)
Cd (0.182, 0.637, 0.286)
S (0.808, 0.384, 0.357)
S (0.192, 0.616, 0.643)
O (0.000, 0.000, 0.000)

Entry 3:
# Rb3CdS2O8

Crystalline Rb3CdS2O8 at its relaxed geometry (PBE, Alexandria).

Computed properties:
V   254.6 Å³/cell
Raw total energy   -73.9 eV/cell
Formation energy (no corrections)   -22.2 eV/f.u.

Lattice parameters (Å, degrees): 6.088 6.088 7.933 90.00 90.00 120.00
Each line ends with the local moment (μB).
Fractional coordinates of all 14 atoms:
Rb (0.333, 0.667, 0.686)  0.00
Rb (0.667, 0.333, 0.314)  0.00
Rb (0.000, 0.000, 0.000)  0.00
Cd (0.000, 0.000, 0.500)  0.34
S (0.333, 0.667, 0.226)  0.01
S (0.667, 0.333, 0.774)  0.01
O (0.333, 0.667, 0.040)  0.01
O (0.667, 0.333, 0.960)  0.01
O (0.199, 0.801, 0.291)  0.02
O (0.801, 0.199, 0.709)  0.02
O (0.199, 0.398, 0.291)  0.02
O (0.801, 0.602, 0.709)  0.02
O (0.602, 0.801, 0.291)  0.02
O (0.398, 0.199, 0.709)  0.02

Entry 4:
# Rb2Cd2SbO6

Crystalline Rb2Cd2SbO6 at its relaxed geometry (PBE, Alexandria).

Computed properties:
V   193.3 Å³/cell
Raw total energy   -51.6 eV/cell
Formation energy (no corrections)   -14.0 eV/f.u.

Lattice parameters (Å, degrees): 5.759 5.759 6.997 99.94 99.94 117.85
Each line ends with the local moment (μB).
Fractional coordinates of all 11 atoms:
Rb (0.825, 0.175, 0.000)  0.00
Rb (0.175, 0.825, 0.000)  0.00
Cd (0.335, 0.665, 0.500)  0.03
Cd (0.665, 0.335, 0.500)  0.03
Sb (0.000, 0.000, 0.500)  -0.01
O (0.770, 0.770, 0.663)  0.11
O (0.054, 0.352, 0.675)  0.17
O (0.230, 0.230, 0.337)  0.11
O (0.352, 0.054, 0.675)  0.17
O (0.946, 0.648, 0.325)  0.17
O (0.648, 0.946, 0.325)  0.17

Entry 5:
# RbScCdO3

Crystalline RbScCdO3 at its relaxed geometry (PBE, Alexandria).

Computed properties:
V   216.0 Å³/cell
Raw total energy   -70.2 eV/cell
Formation energy (no corrections)   -12.0 eV/f.u.

Lattice parameters (Å, degrees): 3.316 6.723 10.261 109.20 90.00 90.00
Fractional coordinates of all 12 atoms:
Rb (0.250, 0.305, 0.300)
Rb (0.750, 0.695, 0.700)
Sc (0.250, 0.686, 0.095)
Sc (0.750, 0.314, 0.905)
Cd (0.250, 0.133, 0.622)
Cd (0.750, 0.867, 0.378)
O (0.750, 0.886, 0.165)
O (0.250, 0.114, 0.835)
O (0.250, 0.770, 0.482)
O (0.750, 0.230, 0.518)
O (0.750, 0.466, 0.105)
O (0.250, 0.534, 0.895)

Entry 6:
# RbScCd2O

Crystalline RbScCd2O at its relaxed geometry (PBE, Alexandria).

Computed properties:
V   160.0 Å³/cell
Raw total energy   -10.9 eV/cell
Formation energy (no corrections)   3.2 eV/f.u.

Lattice parameters (Å, degrees): 6.079 4.329 6.079 90.00 90.00 90.00
Each line ends with the local moment (μB).
Fractional coordinates of all 5 atoms:
Sc (0.500, 0.500, 0.500)  0.36
O (0.000, 0.500, 0.000)  0.01
Rb (0.000, 0.000, 0.000)  0.00
Cd (0.000, 0.000, 0.500)  0.00
Cd (0.500, 0.000, 0.000)  0.00

Entry 7:
# RbCd2Se2O6

Crystalline RbCd2Se2O6 at its relaxed geometry (PBE, Alexandria).

Computed properties:
V   229.8 Å³/cell
Raw total energy   -50.0 eV/cell
Formation energy (no corrections)   -10.4 eV/f.u.

Lattice parameters (Å, degrees): 6.266 8.576 6.326 127.04 111.20 58.07
Fractional coordinates of all 11 atoms:
Rb (0.500, 0.000, 0.500)
Cd (0.739, 0.439, 0.710)
Cd (0.261, 0.561, 0.290)
Se (0.060, 0.716, 0.874)
Se (0.940, 0.284, 0.126)
O (0.144, 0.822, 0.208)
O (0.879, 0.541, 0.217)
O (0.311, 0.666, 0.742)
O (0.121, 0.459, 0.783)
O (0.689, 0.334, 0.258)
O (0.856, 0.178, 0.792)

Entry 8:
# RbCdSeO4

Crystalline RbCdSeO4 at its relaxed geometry (PBE, Alexandria).

Computed properties:
V   187.8 Å³/cell
Raw total energy   -31.4 eV/cell
Formation energy (no corrections)   -6.2 eV/f.u.

Lattice parameters (Å, degrees): 6.428 6.428 6.428 60.00 60.00 60.00
Fractional coordinates of all 7 atoms:
Rb (0.750, 0.750, 0.750)
Cd (0.500, 0.500, 0.500)
Se (0.250, 0.250, 0.250)
O (0.360, 0.360, 0.919)
O (0.360, 0.360, 0.360)
O (0.360, 0.919, 0.360)
O (0.919, 0.360, 0.360)

Entry 9:
# RbCdSe2O6

Crystalline RbCdSe2O6 at its relaxed geometry (PBE, Alexandria).

Computed properties:
V   182.4 Å³/cell
Raw total energy   -48.1 eV/cell
Formation energy (no corrections)   -9.5 eV/f.u.

Lattice parameters (Å, degrees): 5.816 5.816 7.073 65.72 65.72 60.00
Each line ends with the local moment (μB).
Fractional coordinates of all 10 atoms:
Rb (0.000, 0.000, 0.000)  0.00
Cd (0.500, 0.500, 0.500)  0.02
Se (0.733, 0.733, 0.801)  0.06
Se (0.267, 0.267, 0.199)  0.06
O (0.064, 0.518, 0.709)  0.11
O (0.709, 0.064, 0.709)  0.11
O (0.482, 0.291, 0.291)  0.11
O (0.936, 0.482, 0.291)  0.11
O (0.291, 0.936, 0.291)  0.11
O (0.518, 0.709, 0.709)  0.11

Entry 10:
# Rb3CdSe2O8

Crystalline Rb3CdSe2O8 at its relaxed geometry (PBE, Alexandria).

Computed properties:
V   264.3 Å³/cell
Raw total energy   -66.9 eV/cell
Formation energy (no corrections)   -16.4 eV/f.u.

Lattice parameters (Å, degrees): 6.178 6.178 7.996 90.00 90.00 120.00
Fractional coordinates of all 14 atoms:
Rb (0.333, 0.667, 0.682)
Rb (0.667, 0.333, 0.318)
Rb (0.000, 0.000, 0.000)
Cd (0.000, 0.000, 0.500)
Se (0.333, 0.667, 0.238)
Se (0.667, 0.333, 0.762)
O (0.333, 0.667, 0.029)
O (0.667, 0.333, 0.971)
O (0.183, 0.817, 0.315)
O (0.817, 0.183, 0.685)
O (0.183, 0.365, 0.315)
O (0.817, 0.635, 0.685)
O (0.635, 0.817, 0.315)
O (0.365, 0.183, 0.685)

Entry 11:
# RbCdSe2O8

Crystalline RbCdSe2O8 at its relaxed geometry (PBE, Alexandria).

Computed properties:
V   214.3 Å³/cell
Raw total energy   -58.5 eV/cell
Formation energy (no corrections)   -10.0 eV/f.u.

Lattice parameters (Å, degrees): 5.300 5.300 9.326 73.49 73.49 60.00
Each line ends with the local moment (μB).
Fractional coordinates of all 12 atoms:
Rb (0.000, 0.000, 0.000)  0.00
Cd (0.500, 0.500, 0.500)  0.01
Se (0.759, 0.759, 0.723)  -0.02
Se (0.241, 0.241, 0.277)  -0.02
O (0.696, 0.696, 0.912)  0.16
O (0.304, 0.304, 0.088)  0.16
O (0.518, 0.233, 0.336)  0.11
O (0.767, 0.482, 0.664)  0.11
O (0.086, 0.767, 0.664)  0.11
O (0.233, 0.914, 0.336)  0.11
O (0.914, 0.518, 0.336)  0.11
O (0.482, 0.086, 0.664)  0.11

Entry 12:
# Rb2CdSiO4

Crystalline Rb2CdSiO4 at its relaxed geometry (PBE, Alexandria).

Computed properties:
Energy above the lowest structure with this stoichiometry   165 meV/atom
V   353.0 Å³/cell
Raw total energy   -85.1 eV/cell
Formation energy (no corrections)   -14.5 eV/f.u.

Lattice parameters (Å, degrees): 5.467 6.575 11.139 84.14 75.79 65.43
Fractional coordinates of all 16 atoms:
Rb (0.179, 0.000, 0.641)
Rb (0.821, 0.000, 0.359)
Rb (0.571, 0.500, 0.859)
Rb (0.929, 0.500, 0.141)
Cd (0.750, 0.500, 0.500)
Cd (0.000, 0.000, 0.000)
Si (0.250, 0.500, 0.500)
Si (0.500, 0.000, 0.000)
O (0.358, 0.835, 0.084)
O (0.276, 0.165, 0.916)
O (0.808, 0.835, 0.916)
O (0.558, 0.165, 0.084)
O (0.392, 0.665, 0.416)
O (0.474, 0.335, 0.584)
O (0.942, 0.665, 0.584)
O (0.192, 0.335, 0.416)

- Which of these has the lowest raw total energy?
  Rb2Cd2S3O12